Ba2CoCuO4 | PBE with a Hubbard U | optimized geometry

a b c (Å): 4.6431 6.2688 10.0242
angles (deg): 85.08 76.61 68.26
Each line ends with the local moment (μB).
Fractional coordinates of all 16 atoms:
Cu 0.0000 0.0000 0.0000  0.35
Cu 0.7500 0.5000 0.5000  0.35
O 0.1977 0.2205 0.9021  0.20
O 0.1682 0.2795 0.4021  0.20
O 0.9002 0.7795 0.9021  0.20
O 0.8498 0.7205 0.5979  0.20
O 0.3203 0.7795 0.0979  0.20
O 0.5523 0.2795 0.5979  0.20
O 0.4297 0.7205 0.4021  0.20
O 0.5818 0.2205 0.0979  0.20
Ba 0.8249 0.0000 0.3502  0.00
Ba 0.1751 0.0000 0.6498  0.00
Ba 0.5749 0.5000 0.8502  0.00
Ba 0.9251 0.5000 0.1498  0.00
Co 0.5000 0.0000 0.0000  2.73
Co 0.2500 0.5000 0.5000  2.73

Values from the calculation:
SG: Fddd (70)
Raw total energy (eV per atom): -5.662